Density functional theory data (GGA-PBEsol) for LiCa2Tl2 after structural relaxation.

Cell lengths 4.6096, 7.8502, 7.8502 Å; angles 90.00, 90.00, 90.00 degrees
With the nearest neighbours (Å) after each atom.
Atoms (fractional coordinates):
Tl 0.0000 0.3583 0.8583  2 Li 3.02, 1 Tl 3.15, 6 Ca 3.17-3.33
Tl 0.0000 0.6417 0.1417  2 Li 3.02, 1 Tl 3.15, 6 Ca 3.17-3.33
Tl 0.0000 0.1417 0.3583  2 Li 3.02, 1 Tl 3.15, 6 Ca 3.17-3.33
Tl 0.0000 0.8583 0.6417  2 Li 3.02, 1 Tl 3.15, 6 Ca 3.17-3.33
Li 0.0000 0.0000 0.0000  4 Tl 3.02
Li 0.0000 0.5000 0.5000  4 Tl 3.02
Ca 0.5000 0.6629 0.8371  6 Tl 3.17-3.33
Ca 0.5000 0.1629 0.6629  6 Tl 3.17-3.33
Ca 0.5000 0.8371 0.3371  6 Tl 3.17-3.33
Ca 0.5000 0.3371 0.1629  6 Tl 3.17-3.33

Output
The value obtained for the formation energy is -340.1 meV/atom. The value obtained for the theoretical density is 5.797 g/cm³. The value obtained for the total energy is -2.639 eV/atom.

=====

Density functional theory data (GGA-PBEsol) for Li2CaTl after structural relaxation.

Cell lengths 5.1122, 5.1122, 5.1122 Å; angles 60.00, 60.00, 60.00 degrees
With the nearest neighbours (Å) after each atom.
Atoms (fractional coordinates):
Tl 0.2500 0.2500 0.2500  4 Li 3.13, 4 Ca 3.13
Li 0.0000 0.0000 0.0000  4 Li 3.13, 4 Tl 3.13
Li 0.7500 0.7500 0.7500  4 Li 3.13, 4 Ca 3.13
Ca 0.5000 0.5000 0.5000  4 Tl 3.13, 4 Li 3.13

Output
The value obtained for the formation energy is -235.6 meV/atom. The value obtained for the theoretical density is 4.541 g/cm³. The value obtained for the total energy is -2.410 eV/atom.

=====

Density functional theory data (GGA-PBEsol) for LiCaW after structural relaxation.

Cell lengths 2.9121, 2.9121, 7.9862 Å; angles 90.00, 90.00, 120.00 degrees
With the nearest neighbours (Å) after each atom.
Atoms (fractional coordinates):
Li 0.3333 0.6667 0.6382  3 W 2.90, 6 Li 2.91
Ca 0.0000 0.0000 0.0202  6 Ca 2.91, 3 W 3.07
W 0.6667 0.3333 0.3417  3 Li 2.90, 6 W 2.91, 3 Ca 3.07

Output
The value obtained for the formation energy is 809.8 meV/atom. As for the relative energy among the computed polymorphs: 0.0 meV per atom. The value obtained for the theoretical density is 6.536 g/cm³. The value obtained for the total energy is -5.159 eV/atom.

=====

Density functional theory data (GGA-PBEsol) for LiCaW after structural relaxation.

Cell lengths 4.6242, 4.6242, 4.6242 Å; angles 60.00, 60.00, 60.00 degrees
With the nearest neighbours (Å) after each atom.
Atoms (fractional coordinates):
Li 0.2500 0.2500 0.2500  4 Ca 2.83, 4 W 2.83
W 0.0000 0.0000 0.0000  4 Li 2.83
Ca 0.5000 0.5000 0.5000  4 Li 2.83

Output
The value obtained for the formation energy is 1751.8 meV/atom. As for the relative energy among the computed polymorphs: 942.0 meV per atom. The value obtained for the theoretical density is 5.483 g/cm³. The value obtained for the total energy is -4.217 eV/atom.

=====

Density functional theory data (GGA-PBEsol) for LiCa4W after structural relaxation.

Cell lengths 6.4423, 6.4423, 6.4423 Å; angles 60.00, 60.00, 60.00 degrees
With the nearest neighbours (Å) after each atom.
Atoms (fractional coordinates):
Ca 0.8775 0.3742 0.3742  6 Ca 3.20-3.24
Ca 0.3742 0.3742 0.3742  6 Ca 3.20-3.24
Ca 0.3742 0.3742 0.8775  6 Ca 3.20-3.24
Ca 0.3742 0.8775 0.3742  6 Ca 3.20-3.24
W 0.0000 0.0000 0.0000  12 Ca 3.77, 4 Li 3.95
Li 0.7500 0.7500 0.7500  12 Ca 3.78, 4 W 3.95

Output
The value obtained for the formation energy is 1145.1 meV/atom. The value obtained for the theoretical density is 3.084 g/cm³. The value obtained for the total energy is -2.906 eV/atom.

=====

Density functional theory data (GGA-PBEsol) for LiCaY2 after structural relaxation.

Cell lengths 3.5826, 3.5826, 9.4235 Å; angles 90.00, 90.00, 90.00 degrees
With the nearest neighbours (Å) after each atom.
Atoms (fractional coordinates):
Li 0.5000 0.5000 0.7621  4 Y 3.27, 4 Ca 3.39, 4 Li 3.58
Y 0.0000 0.0000 0.9821  4 Li 3.27, 8 Y 3.46-3.58
Y 0.5000 0.5000 0.2324  8 Y 3.46-3.58, 4 Ca 3.73
Ca 0.0000 0.0000 0.5234  4 Li 3.39, 4 Ca 3.58, 4 Y 3.73

Output
The value obtained for the formation energy is 79.3 meV/atom. As for the relative energy among the computed polymorphs: 0.0 meV per atom. The value obtained for the theoretical density is 3.087 g/cm³. The value obtained for the total energy is -4.357 eV/atom.

=====

Density functional theory data (GGA-PBEsol) for Li2CaY after structural relaxation.

Cell lengths 3.6597, 5.4393, 5.4393 Å; angles 90.00, 90.00, 90.00 degrees
With the nearest neighbours (Å) after each atom.
Atoms (fractional coordinates):
Y 0.5000 0.0000 0.0000  8 Li 3.28, 2 Y 3.66
Li 0.0000 0.0000 0.5000  4 Ca 3.28, 4 Y 3.28, 2 Li 3.66
Li 0.0000 0.5000 0.0000  4 Ca 3.28, 4 Y 3.28, 2 Li 3.66
Ca 0.5000 0.5000 0.5000  8 Li 3.28, 2 Ca 3.66

Output
The value obtained for the formation energy is 122.3 meV/atom. As for the relative energy among the computed polymorphs: 35.2 meV per atom. The value obtained for the theoretical density is 2.191 g/cm³. The value obtained for the total energy is -3.100 eV/atom.

=====

Density functional theory data (GGA-PBEsol) for Li2CaY after structural relaxation.

Cell lengths 3.6553, 3.6553, 8.1353 Å; angles 90.00, 90.00, 90.00 degrees
With the nearest neighbours (Å) after each atom.
Atoms (fractional coordinates):
Ca 0.5000 0.5000 0.7793  5 Li 3.41-3.52, 4 Ca 3.66, 4 Y 3.69
Li 0.0000 0.0000 0.0531  4 Li 2.89
Li 0.5000 0.5000 0.2115  4 Li 2.89
Y 0.0000 0.0000 0.4560  5 Li 3.26-3.28

Output
The value obtained for the formation energy is 87.2 meV/atom. As for the relative energy among the computed polymorphs: 0.0 meV per atom. The value obtained for the theoretical density is 2.182 g/cm³. The value obtained for the total energy is -3.135 eV/atom.